A geometry-optimized Tl3Se2 structure. Source: Alexandria, functional PBE.

Structure (POSCAR):
```
Tl3Se2
1.0
-0.953 0.979 -4.235
11.436 -2.634 -3.182
-3.041 -10.968 -1.850
Tl Se
12 8
Direct
0.750 0.367 0.429 Tl
0.750 0.697 0.283 Tl
0.250 0.559 0.875 Tl
0.750 0.803 0.783 Tl
0.250 0.941 0.375 Tl
0.750 0.441 0.125 Tl
0.250 0.867 0.071 Tl
0.750 0.059 0.625 Tl
0.250 0.197 0.217 Tl
0.750 0.133 0.929 Tl
0.250 0.303 0.717 Tl
0.250 0.633 0.571 Tl
0.750 0.043 0.173 Se
0.250 0.321 0.980 Se
0.750 0.679 0.020 Se
0.250 0.957 0.827 Se
0.250 0.179 0.480 Se
0.750 0.821 0.520 Se
0.750 0.457 0.673 Se
0.250 0.543 0.327 Se
```

Summary:
Energy relative to the lowest polymorph listed for this composition: 0 meV/atom
Symmetry: Pnma, No. 62
E_tot: -3.1211 eV/atom
Magnetic moment: 0.0 μB/f.u.